Hf2ZrTlBr: relaxed, PBE.

a b c (Å): 4.942 4.942 5.026
angles (deg): 90.00 90.00 90.00
Sites, in units of the cell vectors:
Hf  0.000  0.500  0.000
Hf  0.500  0.000  0.000
Zr  0.000  0.000  0.500
Tl  0.500  0.500  0.500
Br  0.000  0.000  0.000

Values from the calculation:
DFT total energy	-5.92	eV per atom
SG	No. 123
Fermi-level density of states	0.915	states/eV per atom
crystal system	tetragonal

---

NdHo2In2Ag2: relaxed, PBE.

a b c (Å): 9.355 9.355 9.355
angles (deg): 30.25 30.25 30.25
Sites, in units of the cell vectors:
Nd  0.000  0.000  0.000
Ho  0.127  0.127  0.127
Ho  0.873  0.873  0.873
In  0.257  0.257  0.257
In  0.743  0.743  0.743
Ag  0.407  0.407  0.407
Ag  0.593  0.593  0.593

Values from the calculation:
DFT total energy	-3.87	eV per atom
formation energy from the elements	-289	meV per atom
SG	No. 166
Fermi-level density of states	0.704	states/eV per atom
crystal system	trigonal

---

BaHf3As: relaxed, PBE.

a b c (Å): 5.280 5.280 5.280
angles (deg): 90.00 90.00 90.00
Sites, in units of the cell vectors:
Ba  0.000  0.000  0.000
Hf  0.000  0.000  0.500
Hf  0.000  0.500  0.000
Hf  0.500  0.000  0.000
As  0.500  0.500  0.500

Values from the calculation:
DFT total energy	-5.16	eV per atom
formation energy from the elements	2131	meV per atom
SG	No. 221
Fermi-level density of states	1.691	states/eV per atom
crystal system	cubic

---

Ho6Zn5Pd: relaxed, PBE.

a b c (Å): 7.922 7.922 7.061
angles (deg): 90.00 90.00 143.14
Sites, in units of the cell vectors:
Ho  0.000  0.000  0.247
Ho  0.000  0.000  0.753
Ho  0.335  0.665  0.250
Ho  0.335  0.665  0.750
Ho  0.665  0.335  0.250
Ho  0.665  0.335  0.750
Zn  0.168  0.832  0.500
Zn  0.173  0.827  0.000
Zn  0.500  0.500  0.500
Zn  0.827  0.173  0.000
Zn  0.832  0.168  0.500
Pd  0.500  0.500  0.000

Values from the calculation:
DFT total energy	-3.70	eV per atom
formation energy from the elements	-446	meV per atom
SG	No. 65
Fermi-level density of states	0.743	states/eV per atom
crystal system	orthorhombic

---

PmAl2SiTc2: relaxed, PBE.

a b c (Å): 4.513 4.513 5.667
angles (deg): 90.00 90.00 90.00
Sites, in units of the cell vectors:
Pm  0.000  0.000  0.000
Al  0.500  0.500  0.246
Al  0.500  0.500  0.754
Si  0.000  0.000  0.500
Tc  0.000  0.500  0.500
Tc  0.500  0.000  0.500

Values from the calculation:
DFT total energy	-6.73	eV per atom
SG	No. 123
Fermi-level density of states	0.746	states/eV per atom
crystal system	tetragonal

---

CaPdF2: relaxed, PBE.

a b c (Å): 7.677 7.677 7.677
angles (deg): 146.69 146.69 47.83
Sites, in units of the cell vectors:
Ca  0.000  0.000  0.000
Ca  0.750  0.250  0.500
Pd  0.250  0.750  0.500
Pd  0.500  0.500  0.000
F  0.091  0.625  0.966
F  0.375  0.341  0.466
F  0.659  0.125  0.034
F  0.875  0.909  0.534

Values from the calculation:
DFT total energy	-4.76	eV per atom
SG	No. 122
Fermi-level density of states	0.276	states/eV per atom
crystal system	tetragonal